(1)
Material: KNb2CrB
Method: DFT, PBE
State: optimized geometry

The formation energy from the elements is 3.275 eV/atom. The density of states at the Fermi level is 8.91 states/eV/cell. As for the space group: No. 123.

Cell: 4.648 4.010 4.648 Å, 90.00 90.00 90.00°
Sites, in units of the cell vectors:
Nb 0.000 0.000 0.500
Nb 0.500 0.000 0.000
Cr 0.500 0.500 0.500
B 0.000 0.500 0.000
K 0.000 0.000 0.000



(2)
Material: Dy3AlNiS7
Method: DFT, PBE
State: optimized geometry

The density of states at the Fermi level is 0.66 states/eV/cell. As for the space group: No. 173. Its uncorrected formation energy is -1796 kJ/mol of formula units.

Cell: 9.536 9.536 6.195 Å, 90.00 90.00 120.00°
Sites, in units of the cell vectors:
S 0.566 0.478 0.000
S 0.667 0.333 0.516
S 0.130 0.899 0.823
S 0.333 0.667 0.016
S 0.434 0.522 0.500
S 0.101 0.231 0.823
S 0.769 0.870 0.823
S 0.899 0.769 0.323
S 0.522 0.088 0.000
S 0.912 0.434 0.000
S 0.231 0.130 0.323
S 0.478 0.912 0.500
S 0.870 0.101 0.323
S 0.088 0.566 0.500
Ni 0.000 0.000 0.559
Ni 0.000 0.000 0.059
Dy 0.376 0.219 0.728
Dy 0.219 0.842 0.228
Dy 0.842 0.624 0.728
Dy 0.781 0.158 0.728
Dy 0.624 0.781 0.228
Dy 0.158 0.376 0.228
Al 0.667 0.333 0.154
Al 0.333 0.667 0.654



(3)
Material: AcPr2HoTm4
Method: DFT, PBE
State: optimized geometry

The formation energy from the elements is 0.430 eV/atom. The density of states at the Fermi level is 36.34 states/eV/cell. As for the space group: No. 74.

Cell: 9.620 9.620 11.933 Å, 128.33 128.33 88.52°
Sites, in units of the cell vectors:
Ho 0.000 0.000 0.000
Ho 0.500 0.500 0.500
Tm 0.744 0.232 0.988
Tm 0.741 0.758 0.993
Tm 0.257 0.768 0.012
Tm 0.258 0.241 0.493
Tm 0.268 0.756 0.512
Tm 0.732 0.244 0.488
Tm 0.742 0.759 0.507
Tm 0.259 0.242 0.007
Ac 0.000 0.500 0.000
Ac 0.000 0.500 0.500
Pr 0.500 0.000 0.000
Pr 0.500 0.000 0.500
Pr 0.500 0.500 0.000
Pr 0.000 0.000 0.500



(4)
Material: PrPuTl2O6
Method: DFT, PBE
State: optimized geometry

As for the space group: No. 148. Its uncorrected formation energy is -2039 kJ/mol of formula units.

Cell: 6.257 6.256 6.253 Å, 59.99 59.99 60.00°
Sites, in units of the cell vectors:
O 0.088 0.530 0.822
O 0.073 0.545 0.281
O 0.560 0.087 0.822
O 0.545 0.102 0.281
O 0.530 0.560 0.822
O 0.102 0.072 0.281
Pu 0.316 0.316 0.051
Tl 0.566 0.566 0.302
Tl 0.066 0.066 0.802
Pr 0.816 0.816 0.552



(5)
Material: Na2Mg5P4O16
Method: DFT, PBE
State: optimized geometry

The density of states at the Fermi level is 0.00 states/eV/cell. As for the space group: No. 2. Its uncorrected formation energy is -6645 kJ/mol of formula units.

Cell: 5.236 8.014 8.243 Å, 110.95 90.15 102.04°
Sites, in units of the cell vectors:
P 0.380 0.699 0.975
P 0.620 0.301 0.025
P 0.868 0.786 0.570
P 0.132 0.214 0.430
O 0.262 0.370 0.375
O 0.677 0.786 0.037
O 0.239 0.673 0.136
O 0.346 0.508 0.828
O 0.935 0.969 0.733
O 0.323 0.214 0.963
O 0.761 0.327 0.864
O 0.744 0.171 0.082
O 0.888 0.248 0.533
O 0.329 0.189 0.560
O 0.738 0.630 0.625
O 0.112 0.752 0.467
O 0.671 0.811 0.440
O 0.256 0.829 0.918
O 0.654 0.492 0.172
O 0.065 0.031 0.267
Mg 0.000 0.000 0.000
Mg 0.361 0.592 0.326
Mg 0.639 0.408 0.674
Mg 0.905 0.746 0.222
Mg 0.095 0.254 0.778
Na 0.433 0.957 0.705
Na 0.567 0.043 0.295



(6)
Material: CdTc2Ir
Method: DFT, PBE
State: optimized geometry

The formation energy from the elements is 0.259 eV/atom. The density of states at the Fermi level is 4.76 states/eV/cell. As for the space group: No. 47.

Cell: 4.082 2.774 6.290 Å, 63.88 90.00 90.00°
Sites, in units of the cell vectors:
Cd 0.500 0.250 0.250
Tc 0.000 0.036 0.965
Tc 0.000 0.464 0.535
Ir 0.500 0.750 0.750



(7)
Material: Ba4Pa3BrO12
Method: DFT, PBE
State: optimized geometry

The density of states at the Fermi level is 4.64 states/eV/cell. As for the space group: No. 229. Its uncorrected formation energy is -5503 kJ/mol of formula units.

Cell: 7.896 7.896 7.896 Å, 109.47 109.47 109.47°
Sites, in units of the cell vectors:
Ba 0.500 0.000 0.000
Ba 0.500 0.500 0.500
Ba 0.000 0.500 0.000
Ba 0.000 0.000 0.500
O 0.719 0.000 0.719
O 0.500 0.750 0.250
O 0.500 0.250 0.750
O 0.750 0.250 0.500
O 0.000 0.719 0.719
O 0.250 0.500 0.750
O 0.719 0.719 0.000
O 0.000 0.281 0.281
O 0.250 0.750 0.500
O 0.281 0.000 0.281
O 0.750 0.500 0.250
O 0.281 0.281 0.000
Pa 0.500 0.500 0.000
Pa 0.500 0.000 0.500
Pa 0.000 0.500 0.500
Br 0.000 0.000 0.000



(8)
Material: Fe2CoTc2
Method: DFT, PBE
State: optimized geometry

The formation energy from the elements is 0.386 eV/atom. The density of states at the Fermi level is 12.14 states/eV/cell. As for the space group: No. 127.

Cell: 7.104 7.104 2.597 Å, 90.00 90.00 90.00°
Sites, in units of the cell vectors:
Co 0.500 0.500 0.000
Co 0.000 0.000 0.000
Fe 0.333 0.167 0.500
Fe 0.833 0.333 0.500
Fe 0.167 0.667 0.500
Fe 0.667 0.833 0.500
Tc 0.629 0.129 0.000
Tc 0.871 0.629 0.000
Tc 0.129 0.371 0.000
Tc 0.371 0.871 0.000



For the records above, the corresponding raw total energy values read -21.16; -141.67; -65.38; -74.72; -180.46; -29.47; -154.39; -85.66 eV per cell.